DFT (PBE-GGA) results for crystalline TbSmDyTm3 at its relaxed geometry.

a = 3.5491 Å, b = 18.4091 Å, c = 11.4420 Å
α = 90.00°, β = 90.00°, γ = 90.00°
Space group Cmcm (No. 63)
Inequivalent atoms, fractional coordinates:
Tb 0.0000 0.0000 0.0000 [4 per cell]
Sm 0.0000 0.4442 0.2500 [4 per cell]
Dy 0.0000 0.2233 0.7500 [4 per cell]
Tm 0.0000 0.1123 0.2500 [4 per cell]
Tm 0.0000 0.3326 0.5019 [8 per cell]

Results
The calculated total energy comes out at -4.552 eV/atom.